# 1
12
Lattice="-1.1516 -3.5517 5.2351 9.0460 0.7417 2.4931 -5.2704 6.6229 -0.6151" Properties=species:S:1:pos:R:3 comment="PBE Na3HgSb2, relaxed" dos_at_fermi_per_ev_atom=0.44 sg=Ibam de_polymorph_ev_per_atom=0.012 vol_a3_per_atom=31.7 energy_ev_per_atom=-2.326 pbc="T T T"
Na -3.6282 1.1575 3.9362
Na 1.6857 -1.5904 3.2408
Na 6.2522 2.6553 3.1768
Na 0.8948 1.5284 5.1828
Na 6.2087 -1.2196 4.4873
Na 1.7292 2.2845 1.9303
Sb -1.1632 -0.8858 4.4843
Sb 3.7872 4.6987 2.6288
Sb 3.7657 0.7371 3.8854
Sb -1.1417 3.0758 3.2277
Hg 0.0000 0.0000 0.0000
Hg 4.5230 0.3708 1.2465



# 2
20
Lattice="5.1766 0.0000 0.0000 0.0000 12.2152 -2.2141 0.0000 -6.3794 10.0129" Properties=species:S:1:pos:R:3 comment="PBE Na6Hg3Sb, relaxed" dos_at_fermi_per_ev_atom=0.32 sg=P2_1/m vol_a3_per_atom=28.0 energy_ev_per_atom=-1.558 pbc="T T T"
Hg 3.8824 -0.1287 6.6921
Hg 3.8824 1.8912 1.4293
Hg 1.2941 5.9645 1.1067
Hg 1.2941 3.9446 6.3696
Hg 3.8824 5.0213 2.9036
Hg 1.2941 0.8144 4.8952
Sb 1.2941 9.2858 0.5572
Sb 3.8824 -3.4500 7.2416
Na 3.8824 4.9810 -0.3762
Na 1.2941 0.8548 8.1750
Na 1.2941 6.7651 4.1895
Na 1.2941 3.2725 2.8190
Na 3.8824 2.5632 4.9798
Na 1.2941 -2.1706 5.8898
Na 3.8824 9.3552 -1.4170
Na 1.2941 -3.5194 9.2158
Na 3.8824 8.0064 1.9090
Na 3.8824 -0.9293 3.6093
Na 1.2941 -0.1210 1.3787
Na 3.8824 5.9568 6.4201



# 3
24
Lattice="-4.3888 1.3339 -1.3138 3.3000 -0.7781 -11.8137 -4.4962 -10.6280 4.2293" Properties=species:S:1:pos:R:3 comment="PBE Na11Hg4Sb9, relaxed" dos_at_fermi_per_ev_atom=0.36 sg=Cmmm vol_a3_per_atom=27.8 energy_ev_per_atom=-2.475 pbc="T T T"
Na -0.8709 -8.3037 -5.5214
Na -1.6686 -7.0556 -1.5893
Na 0.4334 -7.0540 -8.6094
Na -0.3254 -3.1025 -2.0629
Na -1.6296 -4.3521 1.0250
Na 1.0751 -0.9350 -4.5406
Na -3.1962 -8.9856 1.5542
Na -2.2713 -10.4712 -3.0437
Na 0.0000 0.0000 0.0000
Na 2.0000 -2.4206 -9.1385
Na 0.4724 -4.3506 -5.9950
Hg -3.7510 -7.8213 -4.0748
Hg -3.3704 -4.1921 -1.6617
Hg -1.8340 -2.2510 -4.8233
Hg -2.2146 -5.8801 -7.2365
Sb -4.5200 -6.1687 0.1716
Sb -1.7767 -0.0996 -2.8306
Sb -1.0651 -3.9035 -9.0698
Sb -2.7925 -5.0361 -4.4491
Sb -3.8084 -9.9726 -6.0675
Sb -2.9251 -1.5505 -0.4674
Sb -2.6599 -8.5217 -8.4307
Sb -0.8112 -1.4830 -7.4603
Sb -4.7738 -8.5893 -1.4379



# 4
8
Lattice="4.6719 0.0000 -1.2611 -0.3377 4.6622 -1.2509 0.0783 0.0164 9.5745" Properties=species:S:1:pos:R:3 comment="PBE Na4Hg3Sb, relaxed" dos_at_fermi_per_ev_atom=0.34 sg=C2/m de_polymorph_ev_per_atom=0.019 vol_a3_per_atom=26.1 energy_ev_per_atom=-1.527 pbc="T T T"
Hg 0.9397 3.4997 3.4814
Hg 3.4728 1.1789 3.5811
Hg -0.1688 2.3311 -0.6255
Na 0.5462 0.5727 2.0234
Na 2.7134 2.9023 0.7675
Na 3.8664 4.1059 5.0391
Na 1.6992 1.7762 6.2949
Sb 2.3360 0.0000 -0.6306



# 5
9
Lattice="-4.4283 1.6960 -1.8535 -4.5146 -4.3326 -0.2119 -5.9217 -0.1568 7.2811" Properties=species:S:1:pos:R:3 comment="PBE Na3Hg4Sb2, relaxed" dos_at_fermi_per_ev_atom=0.24 sg=P-1 de_polymorph_ev_per_atom=0.042 vol_a3_per_atom=27.1 energy_ev_per_atom=-1.701 pbc="T T T"
Hg -11.9222 -2.1434 5.7356
Hg -2.9425 -0.6501 -0.5200
Hg -10.3550 -1.5398 2.4571
Hg -4.5096 -1.2536 2.7586
Sb -5.9540 0.2336 0.5757
Sb -8.9106 -3.0270 4.6399
Na 0.0000 0.0000 0.0000
Na -7.4693 -2.7038 1.4580
Na -7.3953 -0.0896 3.7576



# 6
17
Lattice="-3.9705 -4.2095 2.3264 -1.0879 -3.5847 -8.3432 6.5788 -3.1590 5.5121" Properties=species:S:1:pos:R:3 comment="PBE Na6Hg10Sb, relaxed" dos_at_fermi_per_ev_atom=0.38 sg=P-31m vol_a3_per_atom=26.6 energy_ev_per_atom=-1.078 pbc="T T T"
Na -3.5256 -5.2501 -3.5204
Na -1.5328 -2.5440 -2.4965
Na 1.3651 -2.3831 2.7406
Na -0.7734 -5.5694 0.5991
Na 1.2432 -4.9853 5.0978
Na 2.2938 -5.3838 -1.1039
Sb -1.9852 -2.1047 1.1632
Hg -0.5176 -5.5475 -2.5616
Hg -1.5428 -3.4174 -5.6773
Hg 4.0232 -3.3009 0.8937
Hg -3.5156 -4.3768 -0.3395
Hg 0.7990 -8.3610 -0.1852
Hg 2.0380 -5.4057 2.0568
Hg 1.4676 -3.4428 -3.7248
Hg 0.7214 -2.5921 -0.3196
Hg 4.0756 -3.1055 4.4763
Hg -1.4673 -4.2630 3.3622



# 7
8
Lattice="4.8089 0.0000 0.0000 0.0000 4.5856 0.0000 0.0000 0.0000 11.2139" Properties=species:S:1:pos:R:3 comment="PBE Na4HgSb3, relaxed" dos_at_fermi_per_ev_atom=0.39 sg=Pmm2 vol_a3_per_atom=30.9 energy_ev_per_atom=-2.501 pbc="T T T"
Hg 2.4044 2.2928 0.9498
Na 0.0000 2.2928 9.7124
Na 2.4044 0.0000 7.1664
Na 2.4044 2.2928 4.0621
Na 0.0000 0.0000 1.4363
Sb 2.4044 0.0000 10.3877
Sb 0.0000 2.2928 6.4702
Sb 0.0000 0.0000 4.6707



# 8
5
Lattice="-2.4889 1.4181 3.7451 -2.8358 -3.7376 -0.4693 1.3690 -4.7244 5.6668" Properties=species:S:1:pos:R:3 comment="PBE NaHg2Sb2, relaxed" dos_at_fermi_per_ev_atom=0.51 sg=I4/mmm de_polymorph_ev_per_atom=0.000 vol_a3_per_atom=29.9 energy_ev_per_atom=-2.061 pbc="T T T"
Sb -2.0646 -4.8109 3.4177
Sb -1.8912 -2.2330 5.5249
Hg -2.1225 -5.1509 6.4761
Hg -1.8332 -1.8929 2.4666
Na 0.0000 0.0000 0.0000